1.
Material: Th2PtRh5Pb
Method: DFT, GGA-PBE
State: optimized geometry

a b c (Å): 8.4807 8.4807 7.9818
angles (deg): 122.09 122.09 90.00
With the nearest neighbours (Å) after each atom.
Fractional positions:
Th1 0.1402 0.3598 0.0000  2 Rh 2.48
Th2 0.6402 0.1402 0.0000  2 Rh 2.48
Th3 0.3598 0.8598 0.0000  2 Rh 2.48
Th4 0.8598 0.6402 0.0000  2 Rh 2.48
Pt1 0.2500 0.7500 0.5000  4 Rh 2.58
Pt2 0.7500 0.2500 0.5000  4 Rh 2.58
Rh1 0.9451 0.4451 0.2707  1 Th 2.48, 1 Pt 2.58
Rh2 0.6744 0.1744 0.7293  1 Th 2.48, 1 Pt 2.58
Rh3 0.0549 0.5549 0.7293  1 Th 2.48, 1 Pt 2.58
Rh4 0.1744 0.0549 0.7293  1 Th 2.48, 1 Pt 2.58
Rh5 0.5549 0.6744 0.7293  1 Th 2.48, 1 Pt 2.58
Rh6 0.8256 0.9451 0.2707  1 Th 2.48, 1 Pt 2.58
Rh7 0.4451 0.3256 0.2707  1 Th 2.48, 1 Pt 2.58
Rh8 0.3256 0.8256 0.2707  1 Th 2.48, 1 Pt 2.58
Rh9 0.5000 0.5000 0.0000  2 Pb 2.63
Rh10 0.0000 0.0000 0.0000  2 Pb 2.63
Pb1 0.2500 0.2500 0.5000  2 Rh 2.63
Pb2 0.7500 0.7500 0.5000  2 Rh 2.63

Summary:
Its formation energy is -0.206 eV per atom. The calculation puts the spin magnetization at 0.0 μB per cell.



2.
Material: Sm2P2Ru2C
Method: DFT, GGA-PBE
State: optimized geometry

a b c (Å): 3.9816 5.8713 6.0410
angles (deg): 69.76 70.76 70.18
With the nearest neighbours (Å) after each atom.
Fractional positions:
Sm1 0.5647 0.1805 0.6901  2 C 2.67, 1 P 2.94
Sm2 0.4353 0.8195 0.3099  2 C 2.67, 1 P 2.94
P1 0.1782 0.3569 0.2867  3 Ru 2.35-2.40
P2 0.8218 0.6431 0.7133  3 Ru 2.35-2.40
Ru1 0.1968 0.6890 0.9175  1 C 1.90
Ru2 0.8032 0.3110 0.0825  1 C 1.90
C1 0.0000 0.0000 0.0000  2 Ru 1.90

Summary:
Its formation energy is -0.882 eV per atom. The calculation puts the spin magnetization at 0.0 μB per cell.



3.
Material: Sr6Pd3Au
Method: DFT, GGA-PBE
State: optimized geometry

a b c (Å): 4.3375 11.2842 14.9485
angles (deg): 110.01 90.00 90.00
With the nearest neighbours (Å) after each atom.
Fractional positions:
Sr1 0.7500 0.5094 0.6168  3 Pd 3.04-3.06
Sr2 0.2500 0.4906 0.3832  3 Pd 3.04-3.06
Sr3 0.7500 0.8358 0.0964  5 Pd 3.13-3.36, 2 Au 3.28
Sr4 0.2500 0.1642 0.9036  5 Pd 3.13-3.36, 2 Au 3.28
Sr5 0.7500 0.4361 0.0922  3 Pd 3.18-3.41
Sr6 0.2500 0.5639 0.9078  3 Pd 3.18-3.41
Sr7 0.7500 0.7509 0.3182  3 Pd 3.02-3.21, 2 Au 3.21
Sr8 0.2500 0.2491 0.6818  3 Pd 3.02-3.21, 2 Au 3.21
Sr9 0.7500 0.1311 0.4163  2 Pd 3.05, 2 Au 3.34
Sr10 0.2500 0.8689 0.5837  2 Pd 3.05, 2 Au 3.34
Sr11 0.7500 0.8499 0.8250  3 Pd 3.02-3.26, 1 Au 3.25
Sr12 0.2500 0.1501 0.1750  3 Pd 3.02-3.26, 1 Au 3.25
Pd1 0.7500 0.3446 0.8499  1 Au 3.01, 6 Sr 3.18-3.26
Pd2 0.2500 0.6554 0.1501  1 Au 3.01, 6 Sr 3.18-3.26
Pd3 0.7500 0.6742 0.4932  6 Sr 3.02-3.06
Pd4 0.2500 0.3258 0.5068  6 Sr 3.02-3.06
Pd5 0.7500 0.0877 0.0251  2 Pd 2.86, 4 Sr 3.02-3.13
Pd6 0.2500 0.9123 0.9749  2 Pd 2.86, 4 Sr 3.02-3.13
Au1 0.7500 0.0693 0.7293  1 Pd 3.01, 7 Sr 3.21-3.34
Au2 0.2500 0.9307 0.2707  1 Pd 3.01, 7 Sr 3.21-3.34

Summary:
Its formation energy is -0.525 eV per atom. The calculation puts the spin magnetization at 0.0 μB per cell.



4.
Material: NaLaHgCl6
Method: DFT, GGA-PBE
State: optimized geometry

a b c (Å): 7.0036 7.0036 12.7250
angles (deg): 90.00 90.00 120.00
With the nearest neighbours (Å) after each atom.
Fractional positions:
Na1 0.0000 0.0000 0.0000  6 Cl 2.92
Na2 0.0000 0.0000 0.5000  6 Cl 2.92
La1 0.6667 0.3333 0.2500  6 Cl 2.81
La2 0.3333 0.6667 0.7500  6 Cl 2.81
Hg1 0.3333 0.6667 0.2500  6 Cl 2.73
Hg2 0.6667 0.3333 0.7500  6 Cl 2.73
Cl1 0.6493 0.6585 0.1282  1 Hg 2.73, 1 La 2.81, 1 Na 2.92
Cl2 0.0092 0.3507 0.1282  1 Hg 2.73, 1 La 2.81, 1 Na 2.92
Cl3 0.3507 0.0092 0.6282  1 Hg 2.73, 1 La 2.81, 1 Na 2.92
Cl4 0.9908 0.6493 0.8718  1 Hg 2.73, 1 La 2.81, 1 Na 2.92
Cl5 0.3415 0.3507 0.3718  1 Hg 2.73, 1 La 2.81, 1 Na 2.92
Cl6 0.0092 0.6585 0.3718  1 Hg 2.73, 1 La 2.81, 1 Na 2.92
Cl7 0.6585 0.0092 0.8718  1 Hg 2.73, 1 La 2.81, 1 Na 2.92
Cl8 0.6493 0.9908 0.3718  1 Hg 2.73, 1 La 2.81, 1 Na 2.92
Cl9 0.9908 0.3415 0.6282  1 Hg 2.73, 1 La 2.81, 1 Na 2.92
Cl10 0.3415 0.9908 0.1282  1 Hg 2.73, 1 La 2.81, 1 Na 2.92
Cl11 0.6585 0.6493 0.6282  1 Hg 2.73, 1 La 2.81, 1 Na 2.92
Cl12 0.3507 0.3415 0.8718  1 Hg 2.73, 1 La 2.81, 1 Na 2.92

Summary:
The calculation puts the spin magnetization at 0.0 μB per cell. The formation energy (no corrections) comes out at -156 kJ/mol of atoms.



5.
Material: Tb2PmY6Sc
Method: DFT, GGA-PBE
State: optimized geometry

a b c (Å): 8.7440 9.1716 9.1716
angles (deg): 119.28 91.06 91.06
With the nearest neighbours (Å) after each atom.
Fractional positions:
Tb1 0.4437 0.7889 0.6790  2 Sc 3.22-3.51, 5 Y 3.32-3.48, 2 Pm 3.34-3.59
Tb2 0.0563 0.3210 0.2111  2 Sc 3.22-3.51, 5 Y 3.32-3.48, 2 Pm 3.34-3.59
Tb3 0.5563 0.2111 0.3210  2 Sc 3.22-3.51, 5 Y 3.32-3.48, 2 Pm 3.34-3.59
Tb4 0.9437 0.6790 0.7889  2 Sc 3.22-3.51, 5 Y 3.32-3.48, 2 Pm 3.34-3.59
Pm1 0.2500 0.9676 0.0324  4 Tb 3.34-3.59, 6 Y 3.45-3.66
Pm2 0.7500 0.0324 0.9676  4 Tb 3.34-3.59, 6 Y 3.45-3.66
Y1 0.0517 0.1331 0.7921  1 Tb 3.36, 7 Y 3.41-3.63, 2 Pm 3.45-3.66
Y2 0.4483 0.2079 0.8669  1 Tb 3.36, 7 Y 3.41-3.63, 2 Pm 3.45-3.66
Y3 0.9483 0.8669 0.2079  1 Tb 3.36, 7 Y 3.41-3.63, 2 Pm 3.45-3.66
Y4 0.5517 0.7921 0.1331  1 Tb 3.36, 7 Y 3.41-3.63, 2 Pm 3.45-3.66
Y5 0.2932 0.0480 0.4601  1 Tb 3.32, 1 Sc 3.33, 5 Y 3.41-3.63, 1 Pm 3.63
Y6 0.2068 0.5399 0.9520  1 Tb 3.32, 1 Sc 3.33, 5 Y 3.41-3.63, 1 Pm 3.63
Y7 0.7068 0.9520 0.5399  1 Tb 3.32, 1 Sc 3.33, 5 Y 3.41-3.63, 1 Pm 3.63
Y8 0.7932 0.4601 0.0480  1 Tb 3.32, 1 Sc 3.33, 5 Y 3.41-3.63, 1 Pm 3.63
Y9 0.0909 0.7347 0.4753  2 Sc 3.32-3.40, 3 Tb 3.36-3.48, 4 Y 3.41-3.45
Y10 0.4091 0.5247 0.2653  2 Sc 3.32-3.40, 3 Tb 3.36-3.48, 4 Y 3.41-3.45
Y11 0.9091 0.2653 0.5247  2 Sc 3.32-3.40, 3 Tb 3.36-3.48, 4 Y 3.41-3.45
Y12 0.5909 0.4753 0.7347  2 Sc 3.32-3.40, 3 Tb 3.36-3.48, 4 Y 3.41-3.45
Sc1 0.2500 0.4445 0.5555  4 Tb 3.22-3.51, 6 Y 3.32-3.40
Sc2 0.7500 0.5555 0.4445  4 Tb 3.22-3.51, 6 Y 3.32-3.40

Summary:
Its formation energy is 0.118 eV per atom. The calculation puts the spin magnetization at 0.0 μB per cell.



6.
Material: Li6AsP
Method: DFT, GGA-PBE
State: optimized geometry

a b c (Å): 4.2760 4.2760 7.3992
angles (deg): 73.20 73.20 60.00
With the nearest neighbours (Å) after each atom.
Fractional positions:
Li1 0.6269 0.6269 0.1192  4 Li 2.60-2.64, 3 P 2.60, 1 As 2.66
Li2 0.1227 0.1227 0.6320  1 P 2.57, 4 Li 2.60-2.64, 3 As 2.63
Li3 0.8773 0.8773 0.3680  1 P 2.57, 4 Li 2.60-2.64, 3 As 2.63
Li4 0.3731 0.3731 0.8808  4 Li 2.60-2.64, 3 P 2.60, 1 As 2.66
Li5 0.2490 0.2490 0.2531  8 Li 2.60-2.64
Li6 0.7510 0.7510 0.7469  8 Li 2.60-2.64
As1 0.5000 0.5000 0.5000  8 Li 2.63-2.66
P1 0.0000 0.0000 0.0000  8 Li 2.57-2.60

Summary:
Its formation energy is -0.673 eV per atom. The calculation puts the spin magnetization at 0.0 μB per cell.



7.
Material: UNbCo4
Method: DFT, GGA-PBE
State: optimized geometry

a b c (Å): 4.8391 4.8391 4.8391
angles (deg): 60.00 60.00 60.00
With the nearest neighbours (Å) after each atom.
Fractional positions:
Co1 0.6251 0.6251 0.1246  6 Co 2.42
Co2 0.6251 0.1246 0.6251  6 Co 2.42
Co3 0.6251 0.6251 0.6251  6 Co 2.42
Co4 0.1246 0.6251 0.6251  6 Co 2.42
Nb1 0.0000 0.0000 0.0000  12 Co 2.84, 4 U 2.96
U1 0.2500 0.2500 0.2500  12 Co 2.84, 4 Nb 2.96

Summary:
Its formation energy is -0.125 eV per atom. The calculation puts the spin magnetization at 0.0 μB per cell.



8.
Material: Sc3BiF
Method: DFT, GGA-PBE
State: optimized geometry

a b c (Å): 5.5756 5.5756 5.5756
angles (deg): 90.00 90.00 90.00
With the nearest neighbours (Å) after each atom.
Fractional positions:
Sc1 0.0000 0.5000 0.0000  2 Bi 2.79
Sc2 0.0000 0.0000 0.5000  2 Bi 2.79
Sc3 0.5000 0.0000 0.0000  2 Bi 2.79
Bi1 0.0000 0.0000 0.0000  6 Sc 2.79
F1 0.5000 0.5000 0.5000  12 Sc 3.94

Summary:
The calculation puts the spin magnetization at 4.4 μB per cell. The formation energy (no corrections) comes out at 23 kJ/mol of atoms.